# 1
Tb6Ga2Sn after structural relaxation, computed with PBE.

a = 8.674 Å, b = 8.674 Å, c = 8.674 Å
α = 104.05°, β = 112.36°, γ = 112.13°
Atoms (fractional coordinates):
1 Tb 0.537 0.721 0.816
2 Sn 0.000 0.000 0.000
3 Tb 0.703 0.382 0.678
4 Tb 0.297 0.975 0.678
5 Tb 0.202 0.761 0.964
6 Tb 0.703 0.025 0.322
7 Sn 0.000 0.500 0.500
8 Tb 0.798 0.239 0.036
9 Ga 0.500 0.380 0.880
10 Ga 0.356 0.000 0.356
11 Ga 0.644 0.000 0.644
12 Tb 0.463 0.279 0.184
13 Tb 0.798 0.761 0.559
14 Tb 0.906 0.721 0.184
15 Tb 0.297 0.618 0.322
16 Ga 0.500 0.620 0.120
17 Tb 0.202 0.239 0.441
18 Tb 0.094 0.279 0.816

Values from the calculation:
Symmetry = Immm (71)
Spin magnetization = 0.00 μB/f.u.
Formation energy from the elements = -482 meV per atom



# 2
TbGaSn after structural relaxation, computed with PBE.

a = 7.763 Å, b = 7.763 Å, c = 7.404 Å
α = 104.81°, β = 104.81°, γ = 120.82°
Atoms (fractional coordinates):
1 Sn 0.162 0.162 0.323
2 Tb 0.625 0.375 0.750
3 Sn 0.412 0.912 0.823
4 Ga 0.861 0.139 0.000
5 Tb 0.125 0.375 0.750
6 Ga 0.139 0.861 0.000
7 Ga 0.389 0.611 0.500
8 Sn 0.088 0.588 0.177
9 Ga 0.111 0.889 0.500
10 Tb 0.625 0.375 0.250
11 Tb 0.625 0.875 0.250
12 Sn 0.838 0.838 0.677

Values from the calculation:
Symmetry = Fddd (70)
Spin magnetization = 0.00 μB/f.u.
Formation energy from the elements = -146 meV per atom